1.
Below is an optimized crystal structure of Hf4SnPd, with properties calculated at the PBE-GGA level.

Summary:
- energy of formation from the pure elements (meV per atom) = -116
- total DFT energy (no corrections) (eV/atom) = -8.28
- volume (Å³/cell) = 279.2
- space group = No. 63
- total magnetic moment (μB per formula unit) = 0.00

Cell lengths 9.628, 9.628, 5.879 Å; angles 90.00, 90.00, 149.18 degrees
Atoms (fractional coordinates):
Hf (0.060, 0.940, 0.750)
Hf (0.206, 0.794, 0.504)
Hf (0.206, 0.794, 0.996)
Hf (0.370, 0.630, 0.750)
Hf (0.630, 0.370, 0.250)
Hf (0.794, 0.206, 0.004)
Hf (0.794, 0.206, 0.496)
Hf (0.940, 0.060, 0.250)
Sn (0.353, 0.647, 0.250)
Sn (0.647, 0.353, 0.750)
Pd (0.078, 0.922, 0.250)
Pd (0.922, 0.078, 0.750)

2.
Below is an optimized crystal structure of AlAg2AsSe4, with properties calculated at the PBE-GGA level.

Summary:
- total DFT energy (no corrections) (eV/atom) = -3.80
- volume (Å³/cell) = 216.4
- formation energy (no corrections) (meV per atom) = -291
- space group = No. 1
- total magnetic moment (μB per formula unit) = 0.00

Cell lengths 6.112, 6.113, 7.215 Å; angles 65.10, 65.03, 89.99 degrees
Atoms (fractional coordinates):
Al (0.000, 0.000, 0.000)
Ag (0.500, 0.500, 0.000)
Ag (0.750, 0.250, 0.500)
As (0.250, 0.750, 0.500)
Se (0.117, 0.111, 0.236)
Se (0.348, 0.883, 0.763)
Se (0.648, 0.653, 0.237)
Se (0.889, 0.352, 0.764)

3.
Below is an optimized crystal structure of PuAgHgO5, with properties calculated at the PBE-GGA level.

Summary:
- total DFT energy (no corrections) (eV/atom) = -6.63
- volume (Å³/cell) = 281.4
- formation energy (no corrections) (meV per atom) = -1347
- space group = No. 15
- total magnetic moment (μB per formula unit) = 0.94

Cell lengths 6.583, 6.583, 7.627 Å; angles 102.47, 102.47, 112.48 degrees
Atoms (fractional coordinates):
Pu (0.000, 0.500, 0.000)
Pu (0.500, 0.000, 0.500)
Ag (0.003, 0.997, 0.750)
Ag (0.997, 0.003, 0.250)
Hg (0.428, 0.572, 0.750)
Hg (0.572, 0.428, 0.250)
O (0.071, 0.747, 0.909)
O (0.229, 0.387, 0.884)
O (0.253, 0.929, 0.591)
O (0.288, 0.712, 0.250)
O (0.387, 0.229, 0.384)
O (0.613, 0.771, 0.616)
O (0.712, 0.288, 0.750)
O (0.747, 0.071, 0.409)
O (0.771, 0.613, 0.116)
O (0.929, 0.253, 0.091)

4.
Below is an optimized crystal structure of YMo3Se, with properties calculated at the PBE-GGA level.

Summary:
- total DFT energy (no corrections) (eV/atom) = -5.94
- volume (Å³/cell) = 115.6
- formation energy (no corrections) (meV per atom) = 2547
- space group = No. 221
- total magnetic moment (μB per formula unit) = 0.00
- E above lowest polymorph (eV/atom) = 1.8952

Cell lengths 4.871, 4.871, 4.871 Å; angles 90.00, 90.00, 90.00 degrees
Atoms (fractional coordinates):
Y (0.000, 0.000, 0.000)
Mo (0.000, 0.000, 0.500)
Mo (0.000, 0.500, 0.000)
Mo (0.500, 0.000, 0.000)
Se (0.500, 0.500, 0.500)

5.
Below is an optimized crystal structure of KV, with properties calculated at the PBE-GGA level.

Summary:
- energy of formation from the pure elements (meV per atom) = 1237
- total DFT energy (no corrections) (eV/atom) = -3.87
- volume (Å³/cell) = 282.5
- space group = No. 70
- total magnetic moment (μB per formula unit) = 0.70
- E above lowest polymorph (eV/atom) = 0.4951

Cell lengths 9.570, 8.608, 6.297 Å; angles 78.20, 61.70, 40.10 degrees
Atoms (fractional coordinates):
K (0.039, 0.711, 0.039)
K (0.289, 0.961, 0.289)
K (0.711, 0.039, 0.711)
K (0.961, 0.289, 0.961)
V (0.318, 0.318, 0.432)
V (0.432, 0.432, 0.318)
V (0.568, 0.568, 0.682)
V (0.682, 0.682, 0.568)

6.
Below is an optimized crystal structure of Rb4Dy3PaS8, with properties calculated at the PBE-GGA level.

Summary:
- total DFT energy (no corrections) (eV/atom) = -5.49
- volume (Å³/cell) = 444.4
- formation energy (no corrections) (meV per atom) = -1732
- space group = No. 166
- total magnetic moment (μB per formula unit) = 1.78

Cell lengths 9.030, 9.030, 9.030 Å; angles 53.73, 53.73, 53.73 degrees
Atoms (fractional coordinates):
Rb (0.000, 0.000, 0.000)
Rb (0.000, 0.500, 0.500)
Rb (0.500, 0.000, 0.500)
Rb (0.500, 0.500, 0.000)
Dy (0.000, 0.000, 0.500)
Dy (0.000, 0.500, 0.000)
Dy (0.500, 0.000, 0.000)
Pa (0.500, 0.500, 0.500)
S (0.231, 0.231, 0.231)
S (0.232, 0.731, 0.731)
S (0.269, 0.269, 0.768)
S (0.269, 0.768, 0.269)
S (0.731, 0.232, 0.731)
S (0.731, 0.731, 0.232)
S (0.768, 0.269, 0.269)
S (0.769, 0.769, 0.769)

7.
Below is an optimized crystal structure of Te2RuPbI, with properties calculated at the PBE-GGA level.

Summary:
- total DFT energy (no corrections) (eV/atom) = -3.91
- volume (Å³/cell) = 151.9
- formation energy (no corrections) (meV per atom) = 254
- space group = No. 123
- total magnetic moment (μB per formula unit) = 0.46
- E above lowest polymorph (eV/atom) = 0.0000

Cell lengths 5.231, 5.231, 5.553 Å; angles 90.00, 90.00, 90.00 degrees
Atoms (fractional coordinates):
Te (0.000, 0.500, 0.000)
Te (0.500, 0.000, 0.000)
Ru (0.000, 0.000, 0.000)
Pb (0.500, 0.500, 0.500)
I (0.000, 0.000, 0.500)

8.
Below is an optimized crystal structure of HoTm4Ru5, with properties calculated at the PBE-GGA level.

Summary:
- energy of formation from the pure elements (meV per atom) = -404
- total DFT energy (no corrections) (eV/atom) = -7.29
- volume (Å³/cell) = 189.8
- space group = No. 123
- total magnetic moment (μB per formula unit) = 0.00

Cell lengths 3.362, 3.362, 16.787 Å; angles 90.00, 90.00, 90.00 degrees
Atoms (fractional coordinates):
Ho (0.000, 0.000, 0.000)
Tm (0.000, 0.000, 0.201)
Tm (0.000, 0.000, 0.400)
Tm (0.000, 0.000, 0.600)
Tm (0.000, 0.000, 0.799)
Ru (0.500, 0.500, 0.101)
Ru (0.500, 0.500, 0.301)
Ru (0.500, 0.500, 0.500)
Ru (0.500, 0.500, 0.699)
Ru (0.500, 0.500, 0.899)